Entry 1:
Density functional theory data (PBE) for crystalline Na4UTe5 at its relaxed geometry.

Lattice parameters (Å, degrees): 6.2111 7.8308 7.8308 80.95 66.64 66.64
With the nearest neighbours (Å) after each atom.
Atoms (fractional coordinates):
Te (0.9119, 0.3618, 0.8165)  1 U 2.92, 3 Na 3.12-3.19
Te (0.0902, 0.6382, 0.1835)  1 U 2.92, 3 Na 3.12-3.19
Te (0.7284, 0.1835, 0.3618)  1 U 2.92, 3 Na 3.12-3.19
Te (0.2737, 0.8165, 0.6382)  1 U 2.92, 3 Na 3.12-3.19
Te (0.5010, 0.0000, 0.0000)  2 U 3.11, 4 Na 3.25
Na (0.8056, 0.7917, 0.5992)  6 Te 3.12-3.46
Na (0.4048, 0.4008, 0.7917)  6 Te 3.12-3.46
Na (0.1965, 0.2083, 0.4008)  6 Te 3.12-3.46
Na (0.5973, 0.5992, 0.2083)  6 Te 3.12-3.46
U (0.0010, 0.0000, 0.0000)  6 Te 2.92-3.11

**SG**: I4/m (87)
**Crystal system**: tetragonal
**Calculated density**: 5.0 g/cm3
**Formation energy (no corrections)**: -0.749 eV/atom

Entry 2:
Density functional theory data (PBE) for crystalline Na5UTe6 at its relaxed geometry.

Lattice parameters (Å, degrees): 7.7345 7.8734 7.9099 60.15 79.96 69.50
With the nearest neighbours (Å) after each atom.
Atoms (fractional coordinates):
Te (0.2348, 0.6152, 0.3064)  1 U 2.95, 4 Na 3.17-3.24
Te (0.7660, 0.7769, 0.0000)  1 U 2.93, 4 Na 3.24-3.27
Te (0.2348, 0.9217, 0.6936)  1 U 2.95, 4 Na 3.17-3.24
Te (0.7652, 0.0783, 0.3064)  1 U 2.95, 4 Na 3.17-3.24
Te (0.2340, 0.2231, 0.0000)  1 U 2.93, 4 Na 3.24-3.27
Te (0.7652, 0.3848, 0.6936)  1 U 2.95, 4 Na 3.17-3.24
Na (0.5000, 0.8228, 0.3544)  6 Te 3.20-3.32
Na (0.0000, 0.3337, 0.3327)  6 Te 3.23-3.24
Na (0.0000, 0.6663, 0.6673)  6 Te 3.23-3.24
Na (0.5000, 0.1772, 0.6456)  6 Te 3.20-3.32
Na (0.5000, 0.5000, 0.0000)  6 Te 3.17-3.48
U (0.0000, 0.0000, 0.0000)  6 Te 2.93-2.95

**SG**: C2/m (12)
**Crystal system**: monoclinic
**Calculated density**: 4.7 g/cm3
**Formation energy (no corrections)**: -0.720 eV/atom

Entry 3:
Density functional theory data (PBE) for crystalline Na2U2Te5 at its relaxed geometry.

Lattice parameters (Å, degrees): 8.3331 8.2810 9.0228 117.32 90.00 90.00
With the nearest neighbours (Å) after each atom.
Atoms (fractional coordinates):
Te (0.8506, 0.5236, 0.7456)  3 U 3.10-3.23, 3 Na 3.26-3.40
Te (0.1494, 0.4764, 0.2544)  3 U 3.10-3.23, 3 Na 3.26-3.40
Te (0.3506, 0.9764, 0.2544)  3 U 3.10-3.23, 3 Na 3.26-3.40
Te (0.6494, 0.0236, 0.7456)  3 U 3.10-3.23, 3 Na 3.26-3.40
Te (0.0000, 0.0000, 0.0000)  4 U 3.16, 2 Na 3.24
Te (0.3506, 0.7221, 0.7456)  3 U 3.10-3.23, 3 Na 3.26-3.40
Te (0.1494, 0.2221, 0.7456)  3 U 3.10-3.23, 3 Na 3.26-3.40
Te (0.6494, 0.2779, 0.2544)  3 U 3.10-3.23, 3 Na 3.26-3.40
Te (0.5000, 0.5000, 0.0000)  4 U 3.16, 2 Na 3.24
Te (0.8506, 0.7779, 0.2544)  3 U 3.10-3.23, 3 Na 3.26-3.40
U (0.6519, 0.8491, 0.0000)  8 Te 3.10-3.23
U (0.3481, 0.1509, 0.0000)  8 Te 3.10-3.23
U (0.8481, 0.3491, 0.0000)  8 Te 3.10-3.23
U (0.1519, 0.6509, 0.0000)  8 Te 3.10-3.23
Na (0.5000, 0.2981, 0.5963)  7 Te 3.24-3.40
Na (0.0000, 0.7981, 0.5963)  7 Te 3.24-3.40
Na (0.0000, 0.2019, 0.4037)  7 Te 3.24-3.40
Na (0.5000, 0.7019, 0.4037)  7 Te 3.24-3.40

**SG**: Cmce (64)
**Crystal system**: orthorhombic
**Calculated density**: 7.0 g/cm3
**Formation energy (no corrections)**: -0.751 eV/atom

Entry 4:
Density functional theory data (PBE) for crystalline NaUTe2 at its relaxed geometry.

Lattice parameters (Å, degrees): 4.3420 4.3420 8.3367 74.91 74.91 60.00
With the nearest neighbours (Å) after each atom.
Atoms (fractional coordinates):
Te (0.0782, 0.0782, 0.7655)  3 U 3.12, 3 Na 3.25
Te (0.2560, 0.2560, 0.2319)  3 U 3.12, 3 Na 3.31
Na (0.4986, 0.4986, 0.5044)  6 Te 3.25-3.31
U (0.6672, 0.6672, 0.9983)  6 Te 3.12

**SG**: R3m (160)
**Crystal system**: trigonal
**Calculated density**: 6.6 g/cm3
**Formation energy (no corrections)**: -0.758 eV/atom